# 1
The following is a PBE calculation of an optimized crystal structure of La2Ce4Bi3N2, from Alexandria.

Output
- Formation energy without anion corrections: -1.020 eV/atom
- D(E_F): 48.32 states/eV/cell

Cell: 4.7788 4.7788 27.1804 Å, 90.00 90.00 90.00°
With the nearest neighbours (Å) after each atom.
Space group I4/mmm (No. 139)
Symmetry-distinct sites (fractional):
La: 0.0000 0.0000 0.1937  1 N 2.45
Ce: 0.0000 0.5000 0.0846  2 N 2.44
Bi: 0.0000 0.0000 0.3223  5 La 3.41-3.50, 4 Ce 3.48
Bi: 0.0000 0.0000 0.5000  8 Ce 3.32
N: 0.0000 0.0000 0.1035  4 Ce 2.44, 1 La 2.45

# 2
The following is a PBE calculation of an optimized crystal structure of LiB2PPb, from Alexandria.

Output
- ΔH_f (0 K): 1.674 eV per atom
- D(E_F): 2.56 states/eV/cell

Cell: 4.0487 4.0487 5.1328 Å, 90.00 90.00 90.00°
With the nearest neighbours (Å) after each atom.
Space group P4/mmm (No. 123)
Symmetry-distinct sites (fractional):
Li: 0.0000 0.0000 0.0000  4 B 2.02
B: 0.0000 0.5000 0.0000  2 Li 2.02
P: 0.5000 0.5000 0.5000  4 Pb 2.86
Pb: 0.0000 0.0000 0.5000  2 Li 2.57, 4 P 2.86

# 3
The following is a PBE calculation of an optimized crystal structure of ScZn2Hg2, from Alexandria.

Output
- ΔH_f (0 K): 0.005 eV per atom
- D(E_F): 4.80 states/eV/cell
- Energy above the most stable polymorph in this dataset: 75.5 meV/atom

Cell: 7.7230 7.7230 3.4585 Å, 90.00 90.00 90.00°
With the nearest neighbours (Å) after each atom.
Space group P4/mbm (No. 127)
Symmetry-distinct sites (fractional):
Sc: 0.0000 0.0000 0.0000  4 Hg 3.01, 8 Zn 3.35
Zn: 0.1696 0.3304 0.5000  6 Hg 2.75-2.93
Hg: 0.1349 0.6349 0.0000  6 Zn 2.75-2.93, 1 Hg 2.95, 2 Sc 3.01

# 4
The following is a PBE calculation of an optimized crystal structure of Sc2BiPb, from Alexandria.

Output
- ΔH_f (0 K): -0.356 eV per atom
- D(E_F): 3.50 states/eV/cell
- Energy above the most stable polymorph in this dataset: 88.0 meV/atom

Cell: 4.8997 4.8997 4.1963 Å, 90.00 90.00 90.00°
With the nearest neighbours (Å) after each atom.
Space group P4/mmm (No. 123)
Symmetry-distinct sites (fractional):
Sc: 0.0000 0.5000 0.0000  4 Pb 3.23, 4 Bi 3.23, 4 Sc 3.46
Bi: 0.0000 0.0000 0.5000  8 Sc 3.23, 4 Pb 3.46
Pb: 0.5000 0.5000 0.5000  8 Sc 3.23, 4 Bi 3.46

# 5
The following is a PBE calculation of an optimized crystal structure of Be3Ir, from Alexandria.

Output
- ΔH_f (0 K): -0.277 eV per atom
- D(E_F): 2.81 states/eV/cell

Cell: 4.3104 4.3104 4.3104 Å, 90.00 90.00 90.00°
With the nearest neighbours (Å) after each atom.
Space group Pm-3n (No. 223)
Symmetry-distinct sites (fractional):
Be: 0.0000 0.2500 0.5000  2 Be 2.16, 4 Ir 2.41
Ir: 0.0000 0.0000 0.0000  12 Be 2.41

# 6
The following is a PBE calculation of an optimized crystal structure of Sr3Li3Cd8, from Alexandria.

Output
- ΔH_f (0 K): -0.273 eV per atom
- D(E_F): 18.56 states/eV/cell

Cell: 4.9762 10.2896 14.4066 Å, 90.00 90.00 90.00°
With the nearest neighbours (Å) after each atom.
Space group Immm (No. 71)
Symmetry-distinct sites (fractional):
Sr: 0.0000 0.0000 0.0000  12 Cd 3.46-3.75
Sr: 0.0000 0.0000 0.2961  10 Cd 3.47-3.69, 4 Li 3.57-3.85
Li: 0.0000 0.1979 0.5000  6 Cd 2.87-3.05
Li: 0.0000 0.5000 0.0000  4 Cd 2.78
Cd: 0.0000 0.2903 0.1218  3 Li 2.78-3.05, 2 Cd 2.97
Cd: 0.0000 0.3546 0.3353  1 Li 2.87, 4 Cd 2.97-3.15